The following is a DFT calculation (PBE) of a relaxed structure of Pa2Al4GaCu3.

The structure in POSCAR format:
```
Pa2Al4GaCu3
1.0
4.175 0.000 0.000
0.000 4.175 0.000
0.000 0.000 10.053
Pa Al Ga Cu
2 4 1 3
direct
0.000 0.500 0.250
0.500 0.000 0.750
0.000 0.000 0.000
0.000 0.500 0.639
0.500 0.000 0.361
0.500 0.500 0.000
0.000 0.000 0.500
0.000 0.500 0.870
0.500 0.000 0.130
0.500 0.500 0.500
```

Computed properties:
Spin magnetization = 0.000 μB/atom
Formation energy = -266 meV/atom
Space group = P-4m2, No. 115
Energy = -0.191 hartree per atom

The following is a DFT calculation (PBE) of a relaxed structure of PaAlGa2Cu.

The structure in POSCAR format:
```
PaAlGa2Cu
1.0
-2.034 2.034 5.413
2.034 -2.034 5.413
2.034 2.034 -5.413
Pa Al Ga Cu
1 1 2 1
direct
0.000 0.000 0.000
0.250 0.750 0.500
0.387 0.387 0.000
0.613 0.613 0.000
0.750 0.250 0.500
```

Computed properties:
Spin magnetization = 0.123 μB/atom
Formation energy = -264 meV/atom
Space group = I-4m2, No. 119
Energy = -0.182 hartree per atom

The following is a DFT calculation (PBE) of a relaxed structure of AlGaCuPd.

The structure in POSCAR format:
```
AlGaCuPd
1.0
0.000 3.049 3.049
3.049 0.000 3.049
3.049 3.049 0.000
Al Ga Cu Pd
1 1 1 1
direct
0.000 0.000 0.000
0.500 0.500 0.500
0.250 0.250 0.250
0.750 0.750 0.750
```

Computed properties:
Spin magnetization = 0.000 μB/atom
Formation energy = -405 meV/atom
Space group = F-43m, No. 216
Energy = -0.162 hartree per atom

> Which value of energy does entry 3 give?

-0.162 hartree per atom

> What is the formation energy in the third record?

-405 meV/atom

Please write out number 1 again, unchanged.
The following is a DFT calculation (PBE) of a relaxed structure of Pa2Al4GaCu3.

The structure in POSCAR format:
```
Pa2Al4GaCu3
1.0
4.175 0.000 0.000
0.000 4.175 0.000
0.000 0.000 10.053
Pa Al Ga Cu
2 4 1 3
direct
0.000 0.500 0.250
0.500 0.000 0.750
0.000 0.000 0.000
0.000 0.500 0.639
0.500 0.000 0.361
0.500 0.500 0.000
0.000 0.000 0.500
0.000 0.500 0.870
0.500 0.000 0.130
0.500 0.500 0.500
```

Computed properties:
Spin magnetization = 0.000 μB/atom
Formation energy = -266 meV/atom
Space group = P-4m2, No. 115
Energy = -0.191 hartree per atom